Material: FeNi2As
Method: DFT, PBE-GGA
State: optimized geometry

Calculated values
* energy relative to the elements: -0.008 eV/atom

The structure in POSCAR format:
```
FeNi2As
1.0
4.1662 -1.4151 0.0000
4.1662 1.4151 0.0000
-0.9424 0.0000 4.1157
Fe Ni As
1 2 1
direct
0.0000 0.0000 0.0000 Fe
0.2470 0.2470 0.7526 Ni
0.7530 0.7530 0.2474 Ni
0.5000 0.5000 0.5000 As
```



Material: AcHo4Au5
Method: DFT, PBE-GGA
State: optimized geometry

Calculated values
* energy relative to the elements: -0.841 eV/atom

The structure in POSCAR format:
```
AcHo4Au5
1.0
3.6199 0.0000 0.0000
0.0000 3.6199 0.0000
0.0000 0.0000 18.4936
Ac Ho Au
1 4 5
direct
0.0000 0.0000 0.0000 Ac
0.0000 0.0000 0.2097 Ho
0.0000 0.0000 0.4034 Ho
0.0000 0.0000 0.5966 Ho
0.0000 0.0000 0.7903 Ho
0.5000 0.5000 0.1211 Au
0.5000 0.5000 0.3069 Au
0.5000 0.5000 0.5000 Au
0.5000 0.5000 0.6931 Au
0.5000 0.5000 0.8789 Au
```



Material: PrNd6In
Method: DFT, PBE-GGA
State: optimized geometry

Calculated values
* energy relative to the elements: -0.017 eV/atom

The structure in POSCAR format:
```
PrNd6In
1.0
6.4518 0.0000 0.0000
0.0023 6.4518 0.0000
0.0203 0.0099 6.4534
Pr Nd In
1 6 1
direct
0.0000 0.0000 0.0000 Pr
0.0009 0.2579 0.4997 Nd
0.2578 0.5004 0.9999 Nd
0.4985 0.9989 0.2579 Nd
0.5015 0.0011 0.7421 Nd
0.7422 0.4996 0.0001 Nd
0.9991 0.7421 0.5003 Nd
0.5000 0.5000 0.5000 In
```



Material: YZrPt
Method: DFT, PBE-GGA
State: optimized geometry

Calculated values
* energy relative to the elements: -0.821 eV/atom

The structure in POSCAR format:
```
YZrPt
1.0
4.6648 0.0000 0.0000
0.0000 4.6648 0.0000
0.0000 0.0000 6.7571
Y Zr Pt
2 2 2
direct
0.2500 0.2500 0.1265 Y
0.7500 0.7500 0.8735 Y
0.2500 0.7500 0.5000 Zr
0.7500 0.2500 0.5000 Zr
0.2500 0.2500 0.7080 Pt
0.7500 0.7500 0.2920 Pt
```